The following is a PBE calculation of a relaxed La8Ho6Mg crystal, from the Alexandria database.

Size of the total moment = 0.00 μB per formula unit
Calculated formation energy = 0.129 eV/atom

a b c (Å): 6.6821 9.3679 9.3679
angles (deg): 120.00 90.00 90.00
Last column: nearest neighbours and their distance in Å.
Fractional coordinates of all 15 atoms:
La1 0.8291 0.0464 0.2842  3 La 3.24-3.37, 1 Mg 3.31, 2 Ho 3.37-3.48
La2 0.8291 0.7158 0.7623  3 La 3.24-3.37, 1 Mg 3.31, 2 Ho 3.37-3.48
La3 0.8291 0.2377 0.9536  3 La 3.24-3.37, 1 Mg 3.31, 2 Ho 3.37-3.48
La4 0.1709 0.9536 0.7158  3 La 3.24-3.37, 1 Mg 3.31, 2 Ho 3.37-3.48
La5 0.1709 0.2842 0.2377  3 La 3.24-3.37, 1 Mg 3.31, 2 Ho 3.37-3.48
La6 0.1709 0.7623 0.0464  3 La 3.24-3.37, 1 Mg 3.31, 2 Ho 3.37-3.48
La7 0.8720 0.3333 0.6667  3 La 3.24
La8 0.1280 0.6667 0.3333  3 La 3.24
Ho1 0.6534 0.6576 0.1006  1 Ho 3.30, 5 La 3.37-3.70
Ho2 0.6534 0.8994 0.5570  1 Ho 3.30, 5 La 3.37-3.70
Ho3 0.6534 0.4430 0.3424  1 Ho 3.30, 5 La 3.37-3.70
Ho4 0.3466 0.3424 0.8994  1 Ho 3.30, 5 La 3.37-3.70
Ho5 0.3466 0.1006 0.4430  1 Ho 3.30, 5 La 3.37-3.70
Ho6 0.3466 0.5570 0.6576  1 Ho 3.30, 5 La 3.37-3.70
Mg1 0.5000 0.0000 0.0000  6 La 3.31

***

The following is a PBE calculation of a relaxed Rb2ScMnAg crystal, from the Alexandria database.

Size of the total moment = 5.07 μB per formula unit
Calculated formation energy = 1.029 eV/atom

a b c (Å): 6.5269 5.2421 6.5269
angles (deg): 90.00 90.00 90.00
Last column: nearest neighbours and their distance in Å.
Fractional coordinates of all 5 atoms:
Sc1 0.5000 0.5000 0.5000  8 Rb 4.19, 4 Mn 4.62
Mn1 0.0000 0.5000 0.0000  2 Ag 2.62
Rb1 0.0000 0.0000 0.5000  2 Ag 3.26
Rb2 0.5000 0.0000 0.0000  2 Ag 3.26
Ag1 0.0000 0.0000 0.0000  2 Mn 2.62